{"formula": "Ba2ZnCu3", "functional": "PBE", "state": "optimized geometry", "cell": [[6.053, 0.786, -1.874], [-1.228, 5.979, -1.874], [-0.568, -0.796, 8.915]], "species": ["Cu", "Zn", "Zn", "Cu", "Ba", "Ba", "Cu", "Ba", "Cu", "Ba", "Cu", "Cu"], "fractional_positions": [[0.165, 0.670, 0.835], [0.334, 0.334, 0.668], [0.666, 0.666, 0.332], [0.165, 0.165, 0.330], [0.247, 0.247, 0.000], [0.250, 0.750, 0.500], [0.835, 0.330, 0.165], [0.750, 0.250, 0.500], [0.330, 0.835, 0.165], [0.753, 0.753, 0.000], [0.670, 0.165, 0.835], [0.835, 0.835, 0.670]], "magnetic_moment_mub_per_fu": 0.0, "crystal_system": "orthorhombic", "e_form_mev_per_atom": -57.9, "dos_at_fermi_per_ev_cell": 9.3}

{"formula": "Ba2ZnCu2", "functional": "PBE", "state": "optimized geometry", "cell": [[3.785, 0.000, 0.000], [0.000, 3.785, 0.000], [1.892, 1.892, 9.763]], "species": ["Zn", "Cu", "Ba", "Ba", "Cu"], "fractional_positions": [[0.000, 0.000, 0.000], [0.750, 0.250, 0.500], [0.388, 0.388, 0.224], [0.612, 0.612, 0.776], [0.250, 0.750, 0.500]], "magnetic_moment_mub_per_fu": 0.0, "crystal_system": "tetragonal", "e_form_mev_per_atom": 116.2, "dos_at_fermi_per_ev_cell": 2.8}

{"formula": "Ba2Zn2Cu", "functional": "PBE", "state": "optimized geometry", "cell": [[-5.605, -1.996, 2.577], [0.363, -5.476, -3.452], [-0.737, -5.388, 2.381]], "species": ["Cu", "Zn", "Ba", "Ba", "Zn"], "fractional_positions": [[0.000, 0.000, 0.000], [0.661, 0.661, 0.678], [0.750, 0.250, 0.500], [0.250, 0.750, 0.500], [0.339, 0.339, 0.322]], "magnetic_moment_mub_per_fu": 0.0, "e_above_lowest_polymorph_ev_per_fu": 0.846, "crystal_system": "tetragonal", "e_form_mev_per_atom": 70.3, "dos_at_fermi_per_ev_cell": 11.6}

{"formula": "Ba2ZnCu9", "functional": "PBE", "state": "optimized geometry", "cell": [[5.222, 0.000, 0.000], [2.611, 4.522, 0.000], [2.611, 1.507, 8.870]], "species": ["Cu", "Zn", "Cu", "Cu", "Cu", "Cu", "Cu", "Cu", "Ba", "Cu", "Cu", "Ba"], "fractional_positions": [[0.332, 0.332, 0.004], [0.000, 0.000, 0.000], [0.571, 0.077, 0.780], [0.500, 0.500, 0.500], [0.429, 0.923, 0.220], [0.923, 0.429, 0.220], [0.571, 0.571, 0.780], [0.429, 0.429, 0.220], [0.866, 0.866, 0.401], [0.668, 0.668, 0.996], [0.077, 0.571, 0.780], [0.134, 0.134, 0.599]], "magnetic_moment_mub_per_fu": 0.0, "crystal_system": "trigonal", "e_form_mev_per_atom": 170.0, "dos_at_fermi_per_ev_cell": 6.4}

{"formula": "BaZn2Cu2", "functional": "PBE", "state": "optimized geometry", "cell": [[-5.164, -2.031, -2.595], [-3.270, -4.813, 3.012], [-5.898, 2.642, 2.460]], "species": ["Cu", "Ba", "Zn", "Zn", "Cu", "Cu", "Zn", "Zn", "Ba", "Cu"], "fractional_positions": [[0.316, 0.691, 0.472], [0.880, 0.750, 0.250], [0.544, 0.391, 0.210], [0.856, 0.891, 0.711], [0.684, 0.309, 0.528], [0.479, 0.809, 0.028], [0.456, 0.609, 0.790], [0.144, 0.109, 0.289], [0.120, 0.250, 0.750], [0.521, 0.191, 0.972]], "magnetic_moment_mub_per_fu": 0.0, "e_above_lowest_polymorph_ev_per_fu": 0.000, "crystal_system": "triclinic", "e_form_mev_per_atom": -109.5, "dos_at_fermi_per_ev_cell": 4.1}

{"formula": "BaZnCu2", "functional": "PBE", "state": "optimized geometry", "cell": [[4.441, 0.000, 0.000], [0.000, 4.769, -0.798], [0.000, 0.722, 4.714]], "species": ["Ba", "Zn", "Cu", "Cu"], "fractional_positions": [[0.500, 0.770, 0.749], [0.000, 0.490, 0.246], [0.000, 0.994, 0.254], [0.500, 0.246, 0.251]], "magnetic_moment_mub_per_fu": 0.0, "crystal_system": "monoclinic", "e_form_mev_per_atom": 15.4, "dos_at_fermi_per_ev_cell": 2.4}